Compound: Tl4SF2
Source: the Alexandria database
Functional: PBE-GGA
Structure: relaxed

Excess energy over the best structure of this formula in the dataset, eV/f.u.: 0.09
Formation energy from raw total energies, kcal/mol of atoms: -24.94
Space group: I-42m

abc: 6.3800 6.3800 6.8127
angles: 117.92 117.92 90.00
Atoms (fractional coordinates):
Tl1 0.6598 0.6598 0.7545
Tl2 0.0947 0.0947 0.7545
Tl3 0.9053 0.3402 0.2455
Tl4 0.3402 0.9053 0.2455
F1 0.2500 0.7500 0.5000
F2 0.7500 0.2500 0.5000
S1 0.5000 0.5000 0.0000